VASP calculation (GGA-PBE) on a relaxed structure of Re2HgAs.

Lattice parameters (Å, degrees): 6.4754 6.4754 6.4754 90.00 90.00 90.00
Closest atoms and distances in Å follow each position.
Space group F-43m (No. 216)
Asymmetric unit:
Re: 0.0000 0.0000 0.0000 x4  4 Re 2.80, 4 Hg 2.80
Re: 0.2500 0.2500 0.2500 x4  4 As 2.80, 4 Re 2.80
Hg: 0.2500 0.2500 0.7500 x4  4 As 2.80, 4 Re 2.80
As: 0.0000 0.0000 0.5000 x4  4 Hg 2.80, 4 Re 2.80

Values from the calculation:
**ΔE to the lowest computed polymorph**: 60.9 kJ/mol of atoms
**Magnetization**: 0.00 μB per formula unit
**Total energy**: -6.553 eV per atom
**E_form**: 0.909 eV/atom

***

VASP calculation (GGA-PBE) on a relaxed structure of HgW8.

Lattice parameters (Å, degrees): 8.3965 8.3965 4.2482 90.00 90.00 90.00
Closest atoms and distances in Å follow each position.
Space group I4/mmm (No. 139)
Asymmetric unit:
Hg: 0.0000 0.0000 0.0000 x2  12 W 2.78-2.89
W: 0.0000 0.3312 0.0000 x8  1 Hg 2.78, 11 W 2.82-2.92
W: 0.1645 0.1645 0.5000 x8  10 W 2.76-2.94, 2 Hg 2.89

Values from the calculation:
**Magnetization**: 0.00 μB per formula unit
**Total energy**: -11.008 eV per atom
**E_form**: 0.540 eV/atom